# Na2SrBiO (PBE-GGA, optimized geometry)
# - Energy relative to the elements, uncorrected: -1.102 eV/atom
# - Electronic total energy: -3.734 eV/atom
# - Crystal system: tetragonal
data_Na2SrBiO
_chemical_formula_sum 'Na2 Sr1 Bi1 O1'
_space_group_name_H-M_alt 'P 4/m m m'
_space_group_IT_number 123
_space_group_name_Hall '-P 4 2'
_cell_length_a 5.0081
_cell_length_b 5.0081
_cell_length_c 4.8774
_cell_angle_alpha 90.00
_cell_angle_beta 90.00
_cell_angle_gamma 90.00
loop_
_atom_site_label
_atom_site_fract_x
_atom_site_fract_y
_atom_site_fract_z
_atom_site_occupancy
Na1 0.0000 0.5000 0.0000 1
Sr1 0.0000 0.0000 0.5000 1
Bi1 0.5000 0.5000 0.5000 1
O1 0.0000 0.0000 0.0000 1